LaNiIO2 after structural relaxation. Source: Alexandria via LeMat-Bulk, functional GGA+U.

Results
Its total magnetization is 0.526 μB/f.u. As for the energy above the most stable polymorph in this dataset: 0.00 eV per formula unit. The space-group type is P4/mmm (123). The value obtained for the density of states at the Fermi level is 2.0 states/eV per cell. The theoretical density is 4.5 Mg/m³. Its calculated volume is 131.7 Å³ per cell.

abc: 4.312 4.312 7.082
angles: 90.00 90.00 90.00
Last column: magnetic moment on the atom in μB.
Fractional coordinates of all 5 atoms:
O1 0.500 0.000 0.000  -0.18
O2 0.000 0.500 0.000  -0.18
La1 0.000 0.000 0.000  -0.10
I1 0.000 0.000 0.500  0.01
Ni1 0.500 0.500 0.500  0.97